Entry 1:
Compound: Gd2AgTe
Source: the Alexandria database
Functional: GGA-PBE
Structure: optimized geometry

Structure (POSCAR):
```
Gd2AgTe
1.0
4.2315 0.0000 0.0000
-2.1158 3.6646 0.0000
0.0000 0.0000 22.6010
Gd Ag Te
6 3 3
direct
0.0000 0.0000 0.2466
0.0000 0.0000 0.7534
0.3333 0.6667 0.4200
0.3333 0.6667 0.9133
0.6667 0.3333 0.0867
0.6667 0.3333 0.5800
0.0000 0.0000 0.5000
0.3333 0.6667 0.1667
0.6667 0.3333 0.8333
0.0000 0.0000 0.0000
0.3333 0.6667 0.6667
0.6667 0.3333 0.3333
```

Summary:
- ΔE to the lowest computed polymorph (meV/atom) = 2
- formation energy without anion corrections (eV/atom) = -0.74
- Fermi-level density of states (states/eV per cell) = 18.32

---

Entry 2:
Compound: KZrP2
Source: the Alexandria database
Functional: GGA-PBE
Structure: optimized geometry

Structure (POSCAR):
```
KZrP2
1.0
4.1343 0.0000 0.0000
0.0000 5.0771 0.0000
0.0000 0.0000 8.2850
K Zr P
2 2 4
direct
0.0000 0.0000 0.0000
0.5000 0.5000 0.0000
0.0000 0.0000 0.5000
0.5000 0.5000 0.5000
0.0000 0.5000 0.2972
0.0000 0.5000 0.7028
0.5000 0.0000 0.2972
0.5000 0.0000 0.7028
```

Summary:
- ΔE to the lowest computed polymorph (meV/atom) = 114
- Fermi-level density of states (states/eV per cell) = 1.89
- energy relative to the elements (eV/atom) = -0.55

---

Entry 3:
Compound: NaIn2GaIr
Source: the Alexandria database
Functional: GGA-PBE
Structure: optimized geometry

Structure (POSCAR):
```
NaIn2GaIr
1.0
5.2115 0.0000 0.0000
0.0000 5.2115 0.0000
0.0000 0.0000 4.8619
Na In Ga Ir
1 2 1 1
direct
0.0000 0.0000 0.0000
0.0000 0.5000 0.5000
0.5000 0.0000 0.5000
0.5000 0.5000 0.0000
0.5000 0.5000 0.5000
```

Summary:
- Fermi-level density of states (states/eV per cell) = 2.68
- energy relative to the elements (eV/atom) = -0.15

---

Entry 4:
Compound: SbCl2
Source: the Alexandria database
Functional: GGA-PBE
Structure: optimized geometry

Structure (POSCAR):
```
SbCl2
1.0
8.5829 0.0000 0.0000
0.0000 7.3139 0.0000
-3.8218 0.0000 7.2529
Sb Cl
4 8
direct
0.0080 0.0000 0.1888
0.4920 0.5000 0.8112
0.5080 0.5000 0.1888
0.9920 0.0000 0.8112
0.2356 0.2124 0.8846
0.2364 0.2228 0.3322
0.2644 0.7124 0.1154
0.2636 0.7228 0.6678
0.7356 0.7124 0.8846
0.7364 0.7228 0.3322
0.7644 0.2124 0.1154
0.7636 0.2228 0.6678
```

Summary:
- ΔE to the lowest computed polymorph (meV/atom) = 4
- formation energy without anion corrections (eV/atom) = -0.70

---

Entry 5:
Compound: Y8Co2Pb
Source: the Alexandria database
Functional: GGA-PBE
Structure: optimized geometry

Structure (POSCAR):
```
Y8Co2Pb
1.0
4.3492 -6.6381 0.0000
4.3492 6.6381 0.0000
-1.2213 0.0000 5.2074
Y Co Pb
8 2 1
direct
0.1084 0.1084 0.7986
0.1668 0.4302 0.4258
0.2494 0.7506 0.0000
0.4302 0.1668 0.4258
0.5698 0.8332 0.5742
0.7506 0.2494 0.0000
0.8332 0.5698 0.5742
0.8916 0.8916 0.2014
0.1936 0.8064 0.5000
0.8064 0.1936 0.5000
0.5000 0.5000 0.0000
```

Summary:
- Fermi-level density of states (states/eV per cell) = 14.36
- energy relative to the elements (eV/atom) = -0.14

---

Entry 6:
Compound: Rb6PdPb
Source: the Alexandria database
Functional: GGA-PBE
Structure: optimized geometry

Structure (POSCAR):
```
Rb6PdPb
1.0
4.7897 0.0000 0.0000
0.0000 14.3087 0.0000
0.0000 0.0000 15.4159
Rb Pd Pb
12 2 2
direct
0.0000 0.0000 0.0000
0.0000 0.1460 0.6988
0.0000 0.3540 0.1988
0.0000 0.5000 0.5000
0.0000 0.6460 0.1988
0.0000 0.8540 0.6988
0.5000 0.0000 0.2768
0.5000 0.2132 0.4622
0.5000 0.2868 0.9622
0.5000 0.5000 0.7768
0.5000 0.7132 0.9622
0.5000 0.7868 0.4622
0.5000 0.0000 0.5701
0.5000 0.5000 0.0701
0.0000 0.0000 0.4852
0.0000 0.5000 0.9852
```

Summary:
- Fermi-level density of states (states/eV per cell) = 10.74
- energy relative to the elements (eV/atom) = -0.05

---

For the records above, the corresponding V values read 29.21, 21.74, 26.41, 37.94, 27.33, 66.03 Å³/atom.